# 1
## Pm7Si3O2 (PBE)

Data for a relaxed Pm7Si3O2 crystal.

Cell lengths 4.657, 4.852, 12.352 Å; angles 101.33, 90.00, 90.00 degrees
Sites, in units of the cell vectors:
Pm1 0.000 0.396 0.791
Pm2 0.000 0.794 0.587
Pm3 0.000 0.000 0.000
Pm4 0.000 0.604 0.209
Pm5 0.500 0.097 0.194
Pm6 0.500 0.903 0.806
Pm7 0.000 0.206 0.413
Si1 0.500 0.500 0.000
Si2 0.500 0.689 0.378
Si3 0.500 0.311 0.622
O1 0.000 0.897 0.794
O2 0.000 0.103 0.206

## Properties
- V: 274 Å³/f.u.
- Electronic total energy: -73.3 eV/cell
- Crystal system: orthorhombic

=====

# 2
## PmSi2O5 (PBE)

Data for a relaxed PmSi2O5 crystal.

Cell lengths 3.476, 5.115, 11.065 Å; angles 90.00, 90.00, 90.00 degrees
Sites, in units of the cell vectors:
Pm1 0.000 0.073 0.500
Pm2 0.500 0.927 0.000
Si1 0.500 0.562 0.351
Si2 0.000 0.438 0.149
Si3 0.500 0.562 0.649
Si4 0.000 0.438 0.851
O1 0.500 0.874 0.378
O2 0.000 0.582 0.000
O3 0.000 0.126 0.122
O4 0.500 0.418 0.500
O5 0.000 0.126 0.878
O6 0.500 0.874 0.622
O7 0.500 0.550 0.175
O8 0.500 0.550 0.825
O9 0.000 0.450 0.325
O10 0.000 0.450 0.675

## Properties
- V: 98 Å³/f.u.
- Electronic total energy: -121.4 eV/cell
- Crystal system: orthorhombic

=====

# 3
## Pm6Si3O2 (PBE)

Data for a relaxed Pm6Si3O2 crystal.

Cell lengths 4.669, 4.669, 12.582 Å; angles 100.69, 100.69, 90.00 degrees
Sites, in units of the cell vectors:
Pm1 0.079 0.579 0.159
Pm2 0.579 0.079 0.159
Pm3 0.921 0.421 0.841
Pm4 0.421 0.921 0.841
Pm5 0.699 0.699 0.397
Pm6 0.301 0.301 0.603
Si1 0.000 0.000 0.000
Si2 0.825 0.825 0.650
Si3 0.175 0.175 0.350
O1 0.399 0.399 0.797
O2 0.601 0.601 0.203

## Properties
- V: 265 Å³/f.u.
- Electronic total energy: -70.1 eV/cell
- Crystal system: tetragonal

=====

# 4
## Pm6Si2O (PBE)

Data for a relaxed Pm6Si2O crystal.

Cell lengths 4.856, 6.731, 8.262 Å; angles 114.04, 107.12, 90.00 degrees
Sites, in units of the cell vectors:
Pm1 0.160 0.404 0.321
Pm2 0.840 0.083 0.679
Pm3 0.840 0.596 0.679
Pm4 0.500 0.237 0.000
Pm5 0.160 0.917 0.321
Pm6 0.500 0.763 0.000
Si1 0.665 0.665 0.330
Si2 0.335 0.335 0.670
O1 0.000 0.000 0.000

## Properties
- V: 234 Å³/f.u.
- Electronic total energy: -49.6 eV/cell
- Crystal system: orthorhombic

=====

# 5
## PmSi2O6 (PBE)

Data for a relaxed PmSi2O6 crystal.

Cell lengths 5.444, 7.324, 7.324 Å; angles 86.64, 77.54, 77.54 degrees
Each line ends with the local moment (μB).
Sites, in units of the cell vectors:
Pm1 0.250 0.129 0.871  -0.01
Pm2 0.750 0.871 0.129  -0.01
Si1 0.252 0.642 0.783  -0.01
Si2 0.248 0.217 0.358  -0.01
Si3 0.748 0.358 0.217  -0.01
Si4 0.752 0.783 0.642  -0.01
O1 0.537 0.651 0.652  0.11
O2 0.963 0.348 0.349  0.11
O3 0.463 0.349 0.348  0.11
O4 0.037 0.652 0.651  0.11
O5 0.779 0.883 0.437  0.28
O6 0.721 0.563 0.117  0.28
O7 0.221 0.117 0.563  0.28
O8 0.279 0.437 0.883  0.28
O9 0.152 0.818 0.927  0.06
O10 0.348 0.073 0.182  0.06
O11 0.848 0.182 0.073  0.06
O12 0.652 0.927 0.818  0.06

## Properties
- V: 139 Å³/f.u.
- Electronic total energy: -139.1 eV/cell
- Crystal system: monoclinic

=====

# 6
## Pm2Sm4Si3O2 (PBE)

Data for a relaxed Pm2Sm4Si3O2 crystal.

Cell lengths 4.645, 4.645, 12.539 Å; angles 100.67, 100.67, 90.00 degrees
Sites, in units of the cell vectors:
Pm1 0.302 0.302 0.603
Pm2 0.698 0.698 0.397
Sm1 0.421 0.921 0.841
Sm2 0.921 0.421 0.841
Sm3 0.079 0.579 0.159
Sm4 0.579 0.079 0.159
Si1 0.000 0.000 0.000
Si2 0.174 0.174 0.349
Si3 0.826 0.826 0.651
O1 0.400 0.400 0.800
O2 0.600 0.600 0.200

## Properties
- V: 261 Å³/f.u.
- Electronic total energy: -70.1 eV/cell
- Crystal system: tetragonal

=====

# 7
## SrPm2SiO6 (PBE)

Data for a relaxed SrPm2SiO6 crystal.

Cell lengths 5.237, 5.406, 5.406 Å; angles 90.00, 90.00, 90.00 degrees
Sites, in units of the cell vectors:
Sr1 0.539 0.500 0.500
Pm1 0.983 0.500 0.000
Pm2 0.983 0.000 0.500
Si1 0.621 0.000 0.000
O1 0.732 0.218 0.218
O2 0.732 0.218 0.782
O3 0.092 0.500 0.500
O4 0.300 0.000 0.000
O5 0.732 0.782 0.782
O6 0.732 0.782 0.218

## Properties
- V: 153 Å³/f.u.
- Electronic total energy: -75.5 eV/cell
- Crystal system: tetragonal

=====

# 8
## PmTiSi2O8 (PBE)

Data for a relaxed PmTiSi2O8 crystal.

Cell lengths 5.696, 5.696, 5.696 Å; angles 106.42, 106.42, 115.76 degrees
Sites, in units of the cell vectors:
Pm1 0.250 0.750 0.500
Ti1 0.000 0.000 0.000
Si1 0.750 0.250 0.500
Si2 0.500 0.500 0.000
O1 0.392 0.087 0.305
O2 0.311 0.480 0.170
O3 0.311 0.141 0.830
O4 0.782 0.087 0.695
O5 0.859 0.689 0.170
O6 0.913 0.218 0.305
O7 0.913 0.608 0.695
O8 0.520 0.689 0.830

## Properties
- V: 141 Å³/f.u.
- Electronic total energy: -95.0 eV/cell
- Crystal system: tetragonal

=====

# 9
## PmTl2Si2O6 (PBE)

Data for a relaxed PmTl2Si2O6 crystal.

Cell lengths 6.007, 6.008, 6.986 Å; angles 115.51, 90.00, 120.00 degrees
Each line ends with the local moment (μB).
Sites, in units of the cell vectors:
Pm1 0.500 0.000 0.500  0.04
Tl1 0.714 0.428 0.143  0.00
Tl2 0.286 0.572 0.857  0.00
Si1 0.929 0.858 0.785  0.08
Si2 0.071 0.142 0.215  0.08
O1 0.758 0.516 0.731  0.06
O2 0.241 0.025 0.268  0.06
O3 0.216 0.975 0.732  0.06
O4 0.759 0.975 0.732  0.06
O5 0.784 0.025 0.268  0.06
O6 0.242 0.484 0.269  0.06

## Properties
- V: 189 Å³/f.u.
- Electronic total energy: -73.9 eV/cell
- Crystal system: monoclinic

=====

# 10
## PmTlSiO4 (PBE)

Data for a relaxed PmTlSiO4 crystal.

Cell lengths 5.935, 5.653, 7.863 Å; angles 90.00, 104.64, 90.00 degrees
Sites, in units of the cell vectors:
Pm1 0.777 0.750 0.434
Pm2 0.223 0.250 0.566
Tl1 0.692 0.750 0.886
Tl2 0.308 0.250 0.114
Si1 0.256 0.750 0.355
Si2 0.744 0.250 0.645
O1 0.923 0.478 0.662
O2 0.077 0.978 0.338
O3 0.077 0.522 0.338
O4 0.923 0.022 0.662
O5 0.424 0.750 0.219
O6 0.576 0.250 0.781
O7 0.432 0.750 0.556
O8 0.568 0.250 0.444

## Properties
- V: 128 Å³/f.u.
- Electronic total energy: -100.9 eV/cell
- Crystal system: monoclinic

=====

# 11
## PmTmSi2O8 (PBE)

Data for a relaxed PmTmSi2O8 crystal.

Cell lengths 5.431, 5.431, 6.941 Å; angles 90.00, 90.00, 120.00 degrees
Each line ends with the local moment (μB).
Sites, in units of the cell vectors:
Pm1 0.000 0.000 0.500  -0.02
Tm1 0.000 0.000 0.000  0.00
Si1 0.667 0.333 0.290  -0.01
Si2 0.333 0.667 0.710  -0.01
O1 0.833 0.167 0.223  0.14
O2 0.833 0.665 0.223  0.14
O3 0.335 0.167 0.223  0.14
O4 0.665 0.833 0.777  0.14
O5 0.333 0.667 0.471  0.42
O6 0.667 0.333 0.529  0.42
O7 0.167 0.833 0.777  0.14
O8 0.167 0.335 0.777  0.14

## Properties
- V: 177 Å³/f.u.
- Electronic total energy: -91.7 eV/cell
- Crystal system: trigonal